Entry from Alexandria via LeMat-Bulk: a geometry-optimized BiPIrO2 structure (PBE).

CIF file:
```
data_BiPIrO2
_space_group_name_H-M_alt 'P 4/m m m'
_space_group_IT_number 123
_space_group_name_Hall '-P 4 2'
_cell_length_a 4.014
_cell_length_b 4.014
_cell_length_c 5.828
_cell_angle_alpha 90.00
_cell_angle_beta 90.00
_cell_angle_gamma 90.00
loop_
_atom_site_label
_atom_site_fract_x
_atom_site_fract_y
_atom_site_fract_z
Bi1 0.000 0.000 0.000
P1 0.000 0.000 0.500
Ir1 0.500 0.500 0.500
O1 0.000 0.500 0.000
```

Properties
density of states at the Fermi level = 5.39 states/eV/f.u.
ΔE_f (raw) = 712 meV/atom
total magnetic moment = 1.8 μB/f.u.

---

Entry from Alexandria via LeMat-Bulk: a geometry-optimized BiPIrO2 structure (PBE).

CIF file:
```
data_BiPIrO2
_space_group_name_H-M_alt 'P 4/m m m'
_space_group_IT_number 123
_space_group_name_Hall '-P 4 2'
_cell_length_a 3.977
_cell_length_b 3.977
_cell_length_c 4.949
_cell_angle_alpha 90.00
_cell_angle_beta 90.00
_cell_angle_gamma 90.00
loop_
_atom_site_label
_atom_site_fract_x
_atom_site_fract_y
_atom_site_fract_z
Bi1 0.000 0.000 0.000
P1 0.500 0.500 0.000
Ir1 0.500 0.500 0.500
O1 0.000 0.500 0.500
```

Properties
density of states at the Fermi level = 4.97 states/eV/f.u.
ΔE_f (raw) = -103 meV/atom
total magnetic moment = 0.0 μB/f.u.

---

Entry from Alexandria via LeMat-Bulk: a geometry-optimized PaBiIrO6 structure (PBE).

CIF file:
```
data_PaBiIrO6
_space_group_name_H-M_alt 'P 42 n m'
_space_group_IT_number 102
_space_group_name_Hall 'P 4n -2n'
_cell_length_a 5.058
_cell_length_b 5.058
_cell_length_c 10.211
_cell_angle_alpha 90.00
_cell_angle_beta 90.00
_cell_angle_gamma 90.00
loop_
_atom_site_label
_atom_site_fract_x
_atom_site_fract_y
_atom_site_fract_z
Pa1 0.000 0.000 0.000
Bi1 0.000 0.000 0.669
Ir1 0.000 0.000 0.334
O1 0.177 0.177 0.176
O2 0.193 0.193 0.480
O3 0.215 0.215 0.847
```

Properties
density of states at the Fermi level = 7.09 states/eV/f.u.
ΔE_f (raw) = -1869 meV/atom
total magnetic moment = 1.0 μB/f.u.

---

Entry from Alexandria via LeMat-Bulk: a geometry-optimized PaBi2IrO8 structure (PBE).

CIF file:
```
data_PaBi2IrO8
_space_group_name_H-M_alt 'P 1 2/m 1'
_space_group_IT_number 10
_space_group_name_Hall '-P 2y'
_cell_length_a 5.221
_cell_length_b 6.745
_cell_length_c 5.229
_cell_angle_alpha 90.00
_cell_angle_beta 90.31
_cell_angle_gamma 90.00
loop_
_atom_site_label
_atom_site_fract_x
_atom_site_fract_y
_atom_site_fract_z
Pa1 0.000 0.000 0.000
Bi1 0.500 0.259 0.500
Ir1 0.000 0.500 0.000
O1 0.179 0.260 0.823
O2 0.257 0.500 0.259
O3 0.301 0.000 0.302
```

Properties
density of states at the Fermi level = 2.67 states/eV/f.u.
ΔE_f (raw) = -1684 meV/atom
total magnetic moment = 2.0 μB/f.u.

---

Entry from Alexandria via LeMat-Bulk: a geometry-optimized BiIrPb2O6 structure (PBE).

CIF file:
```
data_BiIrPb2O6
_space_group_name_H-M_alt 'P 1 21/c 1'
_space_group_IT_number 14
_space_group_name_Hall '-P 2ybc'
_cell_length_a 6.004
_cell_length_b 5.883
_cell_length_c 10.299
_cell_angle_alpha 90.00
_cell_angle_beta 125.40
_cell_angle_gamma 90.00
loop_
_atom_site_label
_atom_site_fract_x
_atom_site_fract_y
_atom_site_fract_z
Bi1 0.000 0.000 0.000
Ir1 0.500 0.000 0.500
Pb1 0.253 0.038 0.761
O1 0.174 0.190 0.436
O2 0.294 0.711 0.461
O3 0.373 0.017 0.272
```

Properties
density of states at the Fermi level = 6.11 states/eV/f.u.
ΔE_f (raw) = -959 meV/atom
total magnetic moment = 0.6 μB/f.u.

---

Entry from Alexandria via LeMat-Bulk: a geometry-optimized BiIrPbO6 structure (PBE).

CIF file:
```
data_BiIrPbO6
_space_group_name_H-M_alt 'P 42 n m'
_space_group_IT_number 102
_space_group_name_Hall 'P 4n -2n'
_cell_length_a 5.034
_cell_length_b 5.034
_cell_length_c 10.232
_cell_angle_alpha 90.00
_cell_angle_beta 90.00
_cell_angle_gamma 90.00
loop_
_atom_site_label
_atom_site_fract_x
_atom_site_fract_y
_atom_site_fract_z
Bi1 0.000 0.000 0.000
Ir1 0.000 0.000 0.666
Pb1 0.000 0.000 0.334
O1 0.180 0.180 0.520
O2 0.180 0.180 0.816
O3 0.226 0.226 0.166
```

Properties
density of states at the Fermi level = 4.10 states/eV/f.u.
ΔE_f (raw) = -880 meV/atom
total magnetic moment = 1.3 μB/f.u.